1.
Compound: HoTe2PbAuSe
Source: OQMD
Functional: GGA-PBE
Structure: relaxed

```
12
Lattice="2.119 -7.444 0.000 2.119 7.444 0.000 0.000 0.000 10.555" Properties=species:S:1:pos:R:3 pbc="T T T"
Ho 0.000 0.000 0.000
Ho 0.000 0.000 5.277
Te 2.119 2.225 5.817
Te 2.119 2.225 10.015
Te 2.119 -2.225 0.540
Te 2.119 -2.225 4.737
Pb 2.119 3.712 2.639
Pb 2.119 -3.712 7.916
Au 2.119 0.416 7.916
Au 2.119 -0.416 2.639
Se 2.119 6.204 7.916
Se 2.119 -6.204 2.639
```

Calculated values
**Space group**: No. 63
**Crystal system**: orthorhombic
**Calculated total energy**: -4.32 eV per atom
**Total magnetization**: 0.00 μB/f.u.


2.
Compound: TeOsAu
Source: OQMD
Functional: GGA-PBE
Structure: relaxed

```
3
Lattice="0.000 3.157 3.157 3.157 0.000 3.157 3.157 3.157 0.000" Properties=species:S:1:pos:R:3 pbc="T T T"
Te 0.000 0.000 0.000
Os 4.735 4.735 4.735
Au 3.157 3.157 3.157
```

Calculated values
**Space group**: No. 216
**ΔE to the lowest computed polymorph**: 0.000 eV/atom
**Crystal system**: cubic
**Total magnetization**: 0.00 μB/f.u.